# KSeN2Cl, optimized geometry, DFT GGA-PBE
data_KSeN2Cl
_cell_length_a 4.434
_cell_length_b 4.434
_cell_length_c 5.330
_cell_angle_alpha 90.00
_cell_angle_beta 90.00
_cell_angle_gamma 90.00
_symmetry_space_group_name_H-M 'P 4/m m m'
_symmetry_Int_Tables_number 123
_symmetry_space_group_name_Hall '-P 4 2'
loop_
_atom_site_label
_atom_site_type_symbol
_atom_site_fract_x
_atom_site_fract_y
_atom_site_fract_z
K1 K 0.000 0.000 0.000
Se1 Se 0.500 0.500 0.000
N1 N 0.000 0.500 0.500
Cl1 Cl 0.500 0.500 0.500
# Raw formation energy in kJ/mol of formula units: 832
# Total moment in μB per cell: 3.52



# KSiNCl2, optimized geometry, DFT GGA-PBE
data_KSiNCl2
_cell_length_a 5.331
_cell_length_b 5.331
_cell_length_c 3.298
_cell_angle_alpha 90.00
_cell_angle_beta 90.00
_cell_angle_gamma 90.00
_symmetry_space_group_name_H-M 'P 4/m m m'
_symmetry_Int_Tables_number 123
_symmetry_space_group_name_Hall '-P 4 2'
loop_
_atom_site_label
_atom_site_type_symbol
_atom_site_fract_x
_atom_site_fract_y
_atom_site_fract_z
K1 K 0.000 0.000 0.000
Si1 Si 0.500 0.500 0.500
N1 N 0.500 0.500 0.000
Cl1 Cl 0.000 0.500 0.500
# Raw formation energy in kJ/mol of formula units: -387
# Total moment in μB per cell: 0.00